HgBiF5: optimized geometry, GGA-PBE.

Cell lengths 6.0756, 6.0756, 8.7214 Å; angles 110.61, 110.61, 73.10 degrees
Fractional coordinates of all 14 atoms:
Hg: 0.0260 0.9740 0.7500
Hg: 0.9740 0.0260 0.2500
Bi: 0.5000 0.5000 0.0000
Bi: 0.5000 0.5000 0.5000
F: 0.1690 0.7779 0.0334
F: 0.1971 0.2940 0.3615
F: 0.2221 0.8310 0.4666
F: 0.2940 0.1971 0.8615
F: 0.3993 0.6007 0.7500
F: 0.6007 0.3993 0.2500
F: 0.7060 0.8029 0.1385
F: 0.7779 0.1690 0.5334
F: 0.8029 0.7060 0.6385
F: 0.8310 0.2221 0.9666

The space group is C2/c, No. 15. For the total magnetization, the calculation gives 0.000 μB per atom. The calculation puts the raw formation energy at -1.9697 eV per atom. As for the excess energy over the best structure of this formula in the dataset: 5 meV/atom.